## LaCo2Se (PBE)

Data for crystalline LaCo2Se at its relaxed geometry.

For the uncorrected formation energy, the calculation gives 4 kJ/mol of formula units. The total energy is -5.65 eV per atom.

The structure belongs to space group P4/mmm (No. 123); the cell edges are 4.1127, 4.1127 and 4.5379 Å and the angles 90.00°, 90.00° and 90.00°. The inequivalent atoms are La at (0.0000, 0.0000, 0.0000), Co at (0.0000, 0.5000, 0.5000) and Se at (0.5000, 0.5000, 0.0000).